[1]
# CdCoSO

An optimized crystal structure of CdCoSO (PBE+U, OQMD).

It has space group Pca2_1 (No. 29), with a = 6.3951 Å, b = 7.2404 Å, c = 6.1079 Å, α = 90.00°, β = 90.00° and γ = 90.00°. The asymmetric unit holds Cd at (0.1030, 0.1187, 0.0000), Co at (0.0641, 0.6459, 0.0622), S at (0.0940, 0.6234, 0.6852) and O at (0.0725, 0.1246, 0.6363).

The calculation puts the relative energy among the computed polymorphs at 0.2701 eV per atom. Its total energy is -4.471 eV per atom.

[2]
# CdCoSO

An optimized crystal structure of CdCoSO (PBE+U, OQMD).

It has space group P4/nmm (No. 129, origin choice 2), with a = 3.8590 Å, b = 3.8590 Å, c = 8.7826 Å, α = 90.00°, β = 90.00° and γ = 90.00°. The asymmetric unit holds Cd at (0.2500, 0.2500, 0.1473), Co at (0.2500, 0.2500, 0.5546), S at (0.2500, 0.2500, 0.8331) and O at (0.2500, 0.7500, 0.5000).

The calculation puts the relative energy among the computed polymorphs at 0.0000 eV per atom. Its total energy is -4.741 eV per atom.

[3]
# CdCoSO

An optimized crystal structure of CdCoSO (PBE+U, OQMD).

It has space group Cmc2_1 (No. 36), with a = 3.3639 Å, b = 13.1782 Å, c = 5.9825 Å, α = 90.00°, β = 90.00° and γ = 90.00°. The asymmetric unit holds Cd at (0.0000, 0.0673, 0.0000), Co at (0.0000, 0.3280, 0.9331), S at (0.0000, 0.3084, 0.3290) and O at (0.0000, 0.0870, 0.3686).

The calculation puts the relative energy among the computed polymorphs at 0.3731 eV per atom. Its total energy is -4.368 eV per atom.

- The lowest relative energy among the computed polymorphs belongs to which entry?
  number 2